# NaNb2Se4

A geometry-optimized NaNb2Se4 structure (GGA-PBE, Alexandria).

```
NaNb2Se4
1.0
-3.5204 0.3870 0.0757
1.4813 -2.9768 1.2220
0.9489 5.9986 13.4619
Na Nb Se
1 2 4
Direct
0.6667 0.3333 0.9998
0.0000 0.0000 0.2590
0.6667 0.3333 0.7408
0.3333 0.6667 0.1453
0.3333 0.6667 0.8544
0.3333 0.6667 0.6301
0.3333 0.6667 0.3696
```

Results
E_form (uncorrected), eV/atom: -0.94
Relative energy among the computed polymorphs, eV/atom: 0.000


# Nd2Zn2Au3

A geometry-optimized Nd2Zn2Au3 structure (GGA-PBE, Alexandria).

```
Nd2Zn2Au3
1.0
4.2293 0.0000 0.0000
-2.1147 5.2578 -0.1371
0.0000 -2.5842 6.8096
Nd Zn Au
2 2 3
Direct
0.8652 0.7304 0.2375
0.1348 0.2696 0.7625
0.8480 0.6959 0.7899
0.1520 0.3041 0.2101
0.5000 0.0000 0.0000
0.6209 0.2418 0.4336
0.3791 0.7582 0.5664
```

Results
Formation energy from the elements, eV per atom: -0.594
Relative energy among the computed polymorphs, eV/atom: 0.033


# Ce3AlGa2Au6

A geometry-optimized Ce3AlGa2Au6 structure (GGA-PBE, Alexandria).

```
Ce3AlGa2Au6
1.0
6.1515 0.0000 0.0000
-3.0758 5.3274 0.0000
0.0000 0.0000 8.3987
Ce Al Ga Au
3 1 2 6
Direct
0.3333 0.6667 0.6301
0.6667 0.3333 0.3699
0.0000 0.0000 0.0000
0.0000 0.0000 0.5000
0.6667 0.3333 0.9841
0.3333 0.6667 0.0159
0.6457 0.8228 0.2837
0.1772 0.3543 0.2837
0.1772 0.8228 0.2837
0.8228 0.6457 0.7163
0.3543 0.1772 0.7163
0.8228 0.1772 0.7163
```

Results
Formation energy from the elements, eV per atom: -0.460


# PrUB12

A geometry-optimized PrUB12 structure (GGA-PBE, Alexandria).

```
PrUB12
1.0
-2.2473 -0.0098 3.4382
-3.2879 -1.1952 -2.1524
2.0140 -7.8701 1.2938
Pr U B
1 1 12
Direct
0.0000 0.0000 0.5000
0.0000 0.0000 0.0000
0.1984 0.5000 0.2477
0.1984 0.5000 0.7523
0.5000 0.5000 0.3997
0.5000 0.5000 0.9018
0.5000 0.1984 0.2477
0.5000 0.1984 0.7523
0.5000 0.5000 0.0982
0.5000 0.5000 0.6003
0.5000 0.8016 0.2477
0.5000 0.8016 0.7523
0.8016 0.5000 0.2477
0.8016 0.5000 0.7523
```

Results
Formation energy from the elements, eV per atom: -0.377


# Zn8Ni2Ir

A geometry-optimized Zn8Ni2Ir structure (GGA-PBE, Alexandria).

```
Zn8Ni2Ir
1.0
-3.2529 0.7217 2.4070
3.1946 -2.1573 4.9595
1.2805 6.1484 -0.1176
Zn Ni Ir
8 2 1
Direct
0.9995 0.9637 0.6952
0.9995 0.6952 0.9637
0.4995 0.6641 0.6641
0.5000 0.7443 0.2557
0.5000 0.2557 0.7443
0.5005 0.3359 0.3359
0.0005 0.3048 0.0363
0.0005 0.0363 0.3048
0.0000 0.3785 0.6215
0.0000 0.6215 0.3785
0.5000 0.0000 0.0000
```

Results
Formation energy from the elements, eV per atom: -0.142
Relative energy among the computed polymorphs, eV/atom: 0.036


# Ca2Sn2Ge

A geometry-optimized Ca2Sn2Ge structure (GGA-PBE, Alexandria).

```
Ca2Sn2Ge
1.0
7.6938 0.0000 0.0000
0.0000 7.6938 0.0000
0.0000 0.0000 4.7368
Ge Ca Sn
2 4 4
Direct
0.0000 0.0000 0.0000
0.5000 0.5000 0.0000
0.1710 0.6710 0.5000
0.6710 0.8290 0.5000
0.8290 0.3290 0.5000
0.3290 0.1710 0.5000
0.3656 0.8656 0.0000
0.8656 0.6344 0.0000
0.6344 0.1344 0.0000
0.1344 0.3656 0.0000
```

Results
Formation energy from the elements, eV per atom: -0.450


# B2C3

A geometry-optimized B2C3 structure (GGA-PBE, Alexandria).

```
B2C3
1.0
-12.6721 -1.2250 -4.6485
-13.2206 -2.0696 -2.1504
-13.2652 0.5621 -2.7225
B C
4 6
Direct
0.8593 0.8593 0.8593
0.0515 0.0515 0.0515
0.9485 0.9485 0.9485
0.1407 0.1407 0.1407
0.5224 0.5224 0.5224
0.7134 0.7134 0.7134
0.2866 0.2866 0.2866
0.4776 0.4776 0.4776
0.6731 0.6731 0.6731
0.3269 0.3269 0.3269
```

Results
Formation energy from the elements, eV per atom: 0.402
Relative energy among the computed polymorphs, eV/atom: 0.166


# Tb4NdY2

A geometry-optimized Tb4NdY2 structure (GGA-PBE, Alexandria).

```
Tb4NdY2
1.0
3.5178 -0.2463 0.3127
-2.6572 8.3768 -3.5963
0.9483 -1.1491 8.4673
Tb Nd Y
4 1 2
Direct
0.4116 0.7068 0.5894
0.8068 0.1645 0.7165
0.5884 0.2932 0.4106
0.1932 0.8355 0.2835
0.0000 0.0000 0.0000
0.3596 0.4305 0.1417
0.6404 0.5695 0.8583
```

Results
Formation energy from the elements, eV per atom: 0.038
Relative energy among the computed polymorphs, eV/atom: 0.000


# CePuCoIr

A geometry-optimized CePuCoIr structure (GGA-PBE, Alexandria).

```
CePuCoIr
1.0
-0.5649 -3.6876 2.7669
3.3464 -3.2063 0.3086
2.4969 -0.3831 3.8977
Ir Co Ce Pu
1 1 1 1
Direct
0.7500 0.7500 0.7500
0.0000 0.0000 0.0000
0.5000 0.5000 0.5000
0.2500 0.2500 0.2500
```

Results
Formation energy from the elements, eV per atom: -0.303


# FeNi5I12

A geometry-optimized FeNi5I12 structure (GGA-PBE, Alexandria).

```
FeNi5I12
1.0
-1.5169 5.8387 3.1953
-6.1676 2.8241 -0.7962
-4.9126 -7.4567 11.3972
Fe Ni I
1 5 12
Direct
0.0000 0.0000 0.0000
0.5000 0.0000 0.5000
0.1667 0.6667 0.5000
0.8333 0.3334 0.5000
0.6667 0.6666 0.0000
0.3333 0.3334 0.0000
0.8342 0.0000 0.3958
0.1658 0.0000 0.6042
0.6799 0.0000 0.8992
0.3201 0.0000 0.1008
0.3212 0.6793 0.8991
0.9995 0.6793 0.1009
0.0005 0.3207 0.8991
0.6788 0.3207 0.1009
0.4991 0.3334 0.6044
0.8325 0.6666 0.6044
0.1675 0.3334 0.3957
0.5009 0.6666 0.3956
```

Results
E_form (uncorrected), eV/atom: -0.06


# BeSbOsI2

A geometry-optimized BeSbOsI2 structure (GGA-PBE, Alexandria).

```
BeSbOsI2
1.0
-2.3490 -3.0091 -3.2655
-0.1324 -3.6452 3.4542
-4.5347 1.7381 1.6604
I Sb Os Be
2 1 1 1
Direct
0.0000 0.5000 0.0000
0.5000 0.0000 0.0000
0.0000 0.0000 0.5000
0.5000 0.5000 0.5000
0.0000 0.0000 0.0000
```

Results
E_form (uncorrected), eV/atom: 1.45
Relative energy among the computed polymorphs, eV/atom: 0.301


# CaTl2BF

A geometry-optimized CaTl2BF structure (GGA-PBE, Alexandria).

```
CaTl2BF
1.0
-5.6466 2.5250 0.0361
-1.5934 -3.5813 1.2614
0.8048 1.7158 5.8881
Tl B Ca F
2 1 1 1
Direct
0.0000 0.0000 0.5000
0.5000 0.0000 0.0000
0.5000 0.5000 0.5000
0.0000 0.0000 0.0000
0.0000 0.5000 0.0000
```

Results
E_form (uncorrected), eV/atom: 0.14